Dy3Ho8Sc3 after structural relaxation, computed with GGA-PBE.

The value obtained for the density is 7.417 Mg/m³. The raw total energy comes out at -0.33616 Ry/atom. The density of states at the Fermi level comes out at 1.315 states/eV/atom. The magnetic moment comes out at 0.00 Bohr magnetons per cell.

The structure belongs to space group Immm (No. 71); the cell edges are 5.311, 9.564 and 17.120 Å and the angles 90.00°, 90.00° and 90.00°. The distinct sites, in fractional coordinates, are Dy at (0.000, 0.000, 0.000), Dy at (0.000, 0.245, 0.500), Ho at (0.000, 0.156, 0.298), Ho at (0.000, 0.238, 0.122), Sc at (0.000, 0.500, 0.000) and Sc at (0.000, 0.500, 0.333).


Dy6Ho8Sc after structural relaxation, computed with GGA-PBE.

The value obtained for the density is 8.260 Mg/m³. The calculation puts the offset from the most stable computed form at 0.55 kcal/mol of atoms. The density of states at the Fermi level comes out at 1.559 states/eV/atom. The magnetic moment comes out at 0.00 Bohr magnetons per cell.

The structure belongs to space group P-3 (No. 147); the cell edges are 9.7533, 9.7533 and 5.7089 Å and the angles 90.00°, 90.00° and 120.00°. The distinct sites, in fractional coordinates, are Dy at (0.0918, 0.4698, 0.2590), Ho at (0.0514, 0.2705, 0.7676), Ho at (0.3333, 0.6667, 0.7663) and Sc at (0.0000, 0.0000, 0.5000).


Dy10Ho4Sc after structural relaxation, computed with GGA-PBE.

The value obtained for the density is 8.028 Mg/m³. The raw total energy comes out at -0.31856 Ry/atom. The density of states at the Fermi level comes out at 1.609 states/eV/atom. The magnetic moment comes out at 0.00 Bohr magnetons per cell.

The structure belongs to space group I4/m (No. 87); the cell edges are 9.676, 9.676 and 10.295 Å and the angles 90.00°, 90.00° and 90.00°. The distinct sites, in fractional coordinates, are Dy at (0.000, 0.500, 0.250), Dy at (0.111, 0.213, 0.162), Ho at (0.066, 0.326, 0.500) and Sc at (0.000, 0.000, 0.500).


Dy8Ho5Sc after structural relaxation, computed with GGA-PBE.

The value obtained for the density is 8.050 Mg/m³. The raw total energy comes out at -0.32721 Ry/atom. The density of states at the Fermi level comes out at 1.512 states/eV/atom. The magnetic moment comes out at 0.00 Bohr magnetons per cell.

The structure belongs to space group I-4 (No. 82); the cell edges are 9.473, 9.473 and 9.975 Å and the angles 90.00°, 90.00° and 90.00°. The distinct sites, in fractional coordinates, are Dy at (0.069, 0.175, 0.158), Dy at (0.087, 0.319, 0.497), Ho at (0.000, 0.500, 0.250), Ho at (0.107, 0.291, 0.827) and Sc at (0.000, 0.000, 0.500).


Dy4Ho7Sc after structural relaxation, computed with GGA-PBE.

The value obtained for the density is 8.270 Mg/m³. The calculation puts the offset from the most stable computed form at 0.00 kcal/mol of atoms. The density of states at the Fermi level comes out at 1.718 states/eV/atom. The magnetic moment comes out at 0.00 Bohr magnetons per cell.

The structure belongs to space group P-1 (No. 2); the cell edges are 6.402, 6.696 and 9.009 Å and the angles 85.67°, 76.47° and 81.91°. The distinct sites, in fractional coordinates, are Dy at (0.151, 0.314, 0.280), Dy at (0.335, 0.881, 0.693), Ho at (0.004, 0.255, 0.950), Ho at (0.181, 0.804, 0.363), Ho at (0.310, 0.392, 0.615), Ho at (0.500, 0.000, 0.000) and Sc at (0.500, 0.500, 0.000).


Dy3Ho5Sc4 after structural relaxation, computed with GGA-PBE.

The value obtained for the density is 6.983 Mg/m³. The raw total energy comes out at -0.35769 Ry/atom. The density of states at the Fermi level comes out at 1.765 states/eV/atom. The magnetic moment comes out at 0.90 Bohr magnetons per cell.

The structure belongs to space group C2/m (No. 12); the cell edges are 15.692, 5.668 and 8.854 Å and the angles 90.00°, 115.71° and 90.00°. The distinct sites, in fractional coordinates, are Dy at (0.000, 0.000, 0.000), Dy at (0.206, 0.500, 0.219), Ho at (0.000, 0.500, 0.000), Ho at (0.076, 0.000, 0.702), Ho at (0.175, 0.000, 0.390), Sc at (0.081, 0.500, 0.444) and Sc at (0.211, 0.500, 0.873).


DyHo7Sc4 after structural relaxation, computed with GGA-PBE.

The value obtained for the density is 7.022 Mg/m³. The calculation puts the offset from the most stable computed form at 5.38 kcal/mol of atoms. The density of states at the Fermi level comes out at 1.655 states/eV/atom. The magnetic moment comes out at 0.92 Bohr magnetons per cell.

The structure belongs to space group C2/m (No. 12); the cell edges are 15.436, 5.707 and 9.374 Å and the angles 90.00°, 120.99° and 90.00°. The distinct sites, in fractional coordinates, are Dy at (0.000, 0.000, 0.000), Ho at (0.000, 0.500, 0.000), Ho at (0.088, 0.000, 0.445), Ho at (0.208, 0.000, 0.882), Ho at (0.242, 0.000, 0.277), Sc at (0.054, 0.500, 0.703) and Sc at (0.168, 0.500, 0.348).


Dy3HoSc after structural relaxation, computed with GGA-PBE.

The value obtained for the density is 7.651 Mg/m³. The calculation puts the offset from the most stable computed form at 0.00 kcal/mol of atoms. The density of states at the Fermi level comes out at 1.716 states/eV/atom. The magnetic moment comes out at 0.00 Bohr magnetons per cell.

The structure belongs to space group P-1 (No. 2); the cell edges are 6.147, 6.580 and 9.005 Å and the angles 107.67°, 90.08° and 117.75°. The distinct sites, in fractional coordinates, are Dy at (0.032, 0.397, 0.154), Dy at (0.171, 0.000, 0.256), Dy at (0.361, 0.391, 0.645), Ho at (0.435, 0.200, 0.949) and Sc at (0.235, 0.796, 0.548).


What did the first record say?
Dy3Ho8Sc3 after structural relaxation, computed with GGA-PBE.

The value obtained for the density is 7.417 Mg/m³. The raw total energy comes out at -0.33616 Ry/atom. The density of states at the Fermi level comes out at 1.315 states/eV/atom. The magnetic moment comes out at 0.00 Bohr magnetons per cell.

The structure belongs to space group Immm (No. 71); the cell edges are 5.311, 9.564 and 17.120 Å and the angles 90.00°, 90.00° and 90.00°. The distinct sites, in fractional coordinates, are Dy at (0.000, 0.000, 0.000), Dy at (0.000, 0.245, 0.500), Ho at (0.000, 0.156, 0.298), Ho at (0.000, 0.238, 0.122), Sc at (0.000, 0.500, 0.000) and Sc at (0.000, 0.500, 0.333).


- Which formula does entry 5 have?
  Dy4Ho7Sc


- Among the records above, which one has the highest magnetic moment?
  DyHo7Sc4